# 1
Re2MoBr (GGA-PBE, relaxed); space group = No. 65; size of the total moment = 0.00 μB/atom; crystal system = orthorhombic; final energy = -34.222 eV per cell
1.0
1.5403 -2.2358 0.0000
1.5403 2.2358 0.0000
0.0000 0.0000 11.2874
Re Mo Br
2 1 1
Direct
0.0000 0.0000 0.1902
0.0000 0.0000 0.8098
0.5000 0.5000 0.0000
0.5000 0.5000 0.5000


# 2
Mo2RhBr (GGA-PBE, relaxed); space group = No. 44; size of the total moment = 0.00 μB/atom; crystal system = orthorhombic; final energy = -28.453 eV per cell
1.0
-1.4722 2.3097 4.6605
1.4722 -2.3097 4.6605
1.4722 2.3097 -4.6605
Mo Rh Br
2 1 1
Direct
0.0000 0.0000 0.0000
0.7199 0.2199 0.5000
0.2532 0.7532 0.5000
0.4949 0.4949 0.0000